(1)
First-principles (PBE) data for Ni3HRh after structural relaxation, as listed in Alexandria via LeMat-Bulk.

Unit cell a=3.6652 b=3.6652 c=3.6652 alpha=90.00 beta=90.00 gamma=90.00
Each line ends with the local moment (μB).
Sites, in units of the cell vectors:
Ni1 0.0000 0.5000 0.0000  0.37
Ni2 0.0000 0.0000 0.5000  0.34
Ni3 0.5000 0.0000 0.0000  0.47
H1 0.0000 0.0000 0.0000  0.00
Rh1 0.5000 0.5000 0.5000  0.50

Summary:
For the relative energy among the computed polymorphs, the calculation gives 0.0 meV/atom. The calculation puts the total magnetization at 0.323 μB per atom. As for the raw total energy: -0.4088 Ry/atom. Its calculated density is 9.4 g/cm³.

***

(2)
First-principles (PBE) data for CdGe2N2 after structural relaxation, as listed in Alexandria via LeMat-Bulk.

Unit cell a=8.2350 b=8.2350 c=2.8563 alpha=90.00 beta=90.00 gamma=90.00
Sites, in units of the cell vectors:
Ge1 0.8737 0.6263 0.0000
Ge2 0.6263 0.1263 0.0000
Ge3 0.3737 0.8737 0.0000
Ge4 0.1263 0.3737 0.0000
N1 0.4323 0.0677 0.5000
N2 0.5677 0.9323 0.5000
N3 0.9323 0.4323 0.5000
N4 0.0677 0.5677 0.5000
Cd1 0.5000 0.5000 0.0000
Cd2 0.0000 0.0000 0.0000

Summary:
For the relative energy among the computed polymorphs, the calculation gives 308.0 meV/atom. The formation energy without anion corrections comes out at 873.8 meV/atom. The calculation puts the total magnetization at 0.000 μB per atom. As for the raw total energy: -0.3297 Ry/atom. Its calculated density is 4.9 g/cm³.